Entry 1:
Compound: CrCu2Ir
Source: the Alexandria database
Functional: PBE
Structure: optimized geometry

Unit cell a=3.614 b=3.614 c=7.934 alpha=90.00 beta=90.00 gamma=90.00
Space group I4/mmm (No. 139)
Unique sites:
Cr 0.000 0.000 0.000 x2
Cu 0.000 0.500 0.250 x4
Ir 0.000 0.000 0.500 x2

## Properties
Calculated formation energy: 0.5 eV/f.u.
Spin magnetization: 2.3 μB per formula unit
DOS at the Fermi energy: 9.2 states/eV/cell

=====

Entry 2:
Compound: CoAgHg2
Source: the Alexandria database
Functional: PBE
Structure: optimized geometry

Unit cell a=9.131 b=2.990 c=5.563 alpha=90.00 beta=101.48 gamma=90.00
Space group C2/m (No. 12)
Unique sites:
Co 0.000 0.000 0.000 x2
Ag 0.000 0.500 0.500 x2
Hg 0.240 0.500 0.234 x4

## Properties
Calculated formation energy: 1.6 eV/f.u.
Spin magnetization: 1.5 μB per formula unit
DOS at the Fermi energy: 6.8 states/eV/cell

=====

Entry 3:
Compound: LaYNi2
Source: the Alexandria database
Functional: PBE
Structure: optimized geometry

Unit cell a=3.469 b=3.469 c=7.440 alpha=90.00 beta=90.00 gamma=90.00
Space group P4mm (No. 99)
Unique sites:
La 0.000 0.000 0.000 x1
Y 0.500 0.500 0.565 x1
Ni 0.000 0.000 0.370 x1
Ni 0.500 0.500 0.206 x1

## Properties
Calculated formation energy: -0.3 eV/f.u.
Spin magnetization: 0.0 μB per formula unit
DOS at the Fermi energy: 5.3 states/eV/cell

=====

Entry 4:
Compound: Dy4In2C
Source: the Alexandria database
Functional: PBE
Structure: optimized geometry

Unit cell a=6.306 b=3.573 c=8.548 alpha=90.00 beta=108.22 gamma=90.00
Space group P2/m (No. 10)
Unique sites:
Dy 0.132 0.000 0.282 x2
Dy 0.363 0.500 0.642 x2
In 0.257 0.500 0.997 x2
C 0.500 0.000 0.500 x1

## Properties
Calculated formation energy: -2.0 eV/f.u.
Spin magnetization: 0.8 μB per formula unit
DOS at the Fermi energy: 6.9 states/eV/cell

=====

Entry 5:
Compound: Be2ReTe
Source: the Alexandria database
Functional: PBE
Structure: optimized geometry

Unit cell a=6.154 b=6.154 c=6.154 alpha=90.00 beta=90.00 gamma=90.00
Space group F-43m (No. 216)
Unique sites:
Be 0.000 0.000 0.000 x4
Be 0.250 0.250 0.250 x4
Re 0.000 0.000 0.500 x4
Te 0.250 0.250 0.750 x4

## Properties
Formation energy without anion corrections: 3.57 eV/f.u.
Spin magnetization: 0.0 μB per formula unit
DOS at the Fermi energy: 20.0 states/eV/cell

=====

Entry 6:
Compound: BaCoPb2
Source: the Alexandria database
Functional: PBE
Structure: optimized geometry

Unit cell a=4.816 b=4.816 c=5.078 alpha=90.00 beta=90.00 gamma=90.00
Space group P4/mmm (No. 123)
Unique sites:
Ba 0.000 0.000 0.000 x1
Co 0.500 0.500 0.000 x1
Pb 0.000 0.500 0.500 x2

## Properties
Calculated formation energy: 1.3 eV/f.u.
Spin magnetization: 1.7 μB per formula unit
DOS at the Fermi energy: 5.6 states/eV/cell

=====

Entry 7:
Compound: CoPbCl2
Source: the Alexandria database
Functional: PBE
Structure: optimized geometry

Unit cell a=3.353 b=4.894 c=11.904 alpha=90.00 beta=90.00 gamma=90.00
Space group Imm2 (No. 44)
Unique sites:
Co 0.000 0.000 0.000 x2
Pb 0.000 0.500 0.698 x2
Cl 0.000 0.000 0.569 x2
Cl 0.000 0.500 0.368 x2

## Properties
Formation energy without anion corrections: -0.62 eV/f.u.
Spin magnetization: 2.0 μB per formula unit
DOS at the Fermi energy: 9.6 states/eV/cell

=====

Entry 8:
Compound: Pm4SnGeN
Source: the Alexandria database
Functional: PBE
Structure: optimized geometry

Unit cell a=6.809 b=16.083 c=6.814 alpha=90.00 beta=90.00 gamma=90.00
Space group Cmcm (No. 63)
Unique sites:
Pm 0.000 0.081 0.250 x4
Pm 0.000 0.411 0.250 x4
Pm 0.250 0.250 0.000 x8
Sn 0.000 0.393 0.750 x4
Ge 0.000 0.114 0.750 x4
N 0.000 0.246 0.250 x4

## Properties
Formation energy without anion corrections: -6.16 eV/f.u.
Spin magnetization: 0.0 μB per formula unit
DOS at the Fermi energy: 16.7 states/eV/cell

=====

Entry 9:
Compound: RuSe3Br
Source: the Alexandria database
Functional: PBE
Structure: optimized geometry

Unit cell a=5.115 b=5.115 c=5.115 alpha=90.00 beta=90.00 gamma=90.00
Space group Pm-3m (No. 221)
Unique sites:
Ru 0.000 0.000 0.000 x1
Se 0.000 0.500 0.500 x3
Br 0.500 0.500 0.500 x1

## Properties
Formation energy without anion corrections: 7.57 eV/f.u.
Spin magnetization: 3.6 μB per formula unit
DOS at the Fermi energy: 5.0 states/eV/cell

=====

Entry 10:
Compound: K2LaZrZn
Source: the Alexandria database
Functional: PBE
Structure: optimized geometry

Unit cell a=6.872 b=6.872 c=5.509 alpha=90.00 beta=90.00 gamma=90.00
Space group P4/mmm (No. 123)
Unique sites:
K 0.000 0.500 0.000 x2
La 0.000 0.000 0.500 x1
Zr 0.000 0.000 0.000 x1
Zn 0.500 0.500 0.500 x1

## Properties
Calculated formation energy: 5.2 eV/f.u.
Spin magnetization: 1.9 μB per formula unit
DOS at the Fermi energy: 7.3 states/eV/cell

=====

Entry 11:
Compound: Tb3SmO
Source: the Alexandria database
Functional: PBE
Structure: optimized geometry

Unit cell a=4.977 b=4.977 c=4.977 alpha=90.00 beta=90.00 gamma=90.00
Space group Pm-3m (No. 221)
Unique sites:
Tb 0.000 0.000 0.500 x3
Sm 0.500 0.500 0.500 x1
O 0.000 0.000 0.000 x1

## Properties
Formation energy without anion corrections: -5.45 eV/f.u.
Spin magnetization: 0.0 μB per formula unit
DOS at the Fermi energy: 5.8 states/eV/cell

=====

Entry 12:
Compound: Tb2Ga2NiPt5
Source: the Alexandria database
Functional: PBE
Structure: optimized geometry

Unit cell a=9.696 b=9.696 c=3.702 alpha=90.00 beta=90.00 gamma=90.00
Space group P4/mbm (No. 127)
Unique sites:
Tb 0.175 0.325 0.000 x4
Ga 0.126 0.626 0.000 x4
Ni 0.000 0.000 0.000 x2
Pt 0.000 0.500 0.500 x2
Pt 0.060 0.802 0.500 x8

## Properties
Calculated formation energy: -7.9 eV/f.u.
Spin magnetization: 0.0 μB per formula unit
DOS at the Fermi energy: 5.9 states/eV/cell

=====

Among the records above, which one has the highest DOS at the Fermi energy?
Be2ReTe

=====

What is the DOS at the Fermi energy in the first record?
9.2 states/eV/cell